Entry 1:
DFT (GGA-PBE) results for a relaxed structure of NaLi2Ga4.

Cell and atoms, written as CIF:
```
data_NaLi2Ga4
_chemical_formula_sum 'Na1 Li2 Ga4'
_cell_length_a 5.541
_cell_length_b 5.541
_cell_length_c 5.207
_cell_angle_alpha 117.64
_cell_angle_beta 117.64
_cell_angle_gamma 77.37
_symmetry_space_group_name_H-M 'P 1'
_symmetry_Int_Tables_number 1
loop_
_symmetry_equiv_pos_as_xyz
'x,y,z'
loop_
_atom_site_label
_atom_site_type_symbol
_atom_site_fract_x
_atom_site_fract_y
_atom_site_fract_z
Na1 Na 0.000 0.000 0.000
Li1 Li 0.499 0.499 0.248
Li2 Li 0.501 0.501 0.752
Ga1 Ga 0.001 0.620 0.312
Ga2 Ga 0.380 0.999 0.688
Ga3 Ga 0.620 0.001 0.312
Ga4 Ga 0.999 0.380 0.688
```

Summary:
- space-group type = C2/m, No. 12
- E_form (meV per atom) = -242
- volume (A^3/atom) = 17.9
- spin magnetization (μB per cell) = 0.0
- density of states at the Fermi level (states/eV/f.u.) = 1.53


Entry 2:
DFT (GGA-PBE) results for a relaxed structure of KMg2Ga10.

Cell and atoms, written as CIF:
```
data_KMg2Ga10
_chemical_formula_sum 'K1 Mg2 Ga10'
_cell_length_a 9.564
_cell_length_b 7.411
_cell_length_c 7.352
_cell_angle_alpha 80.76
_cell_angle_beta 49.89
_cell_angle_gamma 49.35
_symmetry_space_group_name_H-M 'P 1'
_symmetry_Int_Tables_number 1
loop_
_symmetry_equiv_pos_as_xyz
'x,y,z'
loop_
_atom_site_label
_atom_site_type_symbol
_atom_site_fract_x
_atom_site_fract_y
_atom_site_fract_z
K1 K 0.000 0.000 0.000
Mg1 Mg 0.000 0.000 0.500
Mg2 Mg 0.500 0.500 0.000
Ga1 Ga 0.000 0.500 0.000
Ga2 Ga 0.001 0.358 0.642
Ga3 Ga 0.273 0.493 0.507
Ga4 Ga 0.358 0.001 0.999
Ga5 Ga 0.493 0.273 0.727
Ga6 Ga 0.500 0.000 0.500
Ga7 Ga 0.507 0.727 0.273
Ga8 Ga 0.642 0.999 0.001
Ga9 Ga 0.727 0.507 0.493
Ga10 Ga 0.999 0.642 0.358
```

Summary:
- space-group type = Fmmm, No. 69
- E_form (meV per atom) = -49
- volume (A^3/atom) = 20.8
- spin magnetization (μB per cell) = 0.0
- density of states at the Fermi level (states/eV/f.u.) = 3.95


Entry 3:
DFT (GGA-PBE) results for a relaxed structure of Ta2GaHOs.

Cell and atoms, written as CIF:
```
data_Ta2GaHOs
_chemical_formula_sum 'Ta2 Ga1 H1 Os1'
_cell_length_a 4.139
_cell_length_b 4.139
_cell_length_c 3.936
_cell_angle_alpha 90.00
_cell_angle_beta 90.00
_cell_angle_gamma 90.00
_symmetry_space_group_name_H-M 'P 1'
_symmetry_Int_Tables_number 1
loop_
_symmetry_equiv_pos_as_xyz
'x,y,z'
loop_
_atom_site_label
_atom_site_type_symbol
_atom_site_fract_x
_atom_site_fract_y
_atom_site_fract_z
Ta1 Ta 0.000 0.500 0.000
Ta2 Ta 0.500 0.000 0.000
Ga1 Ga 0.000 0.000 0.500
H1 H 0.500 0.500 0.000
Os1 Os 0.500 0.500 0.500
```

Summary:
- space-group type = P4/mmm, No. 123
- volume (A^3/atom) = 13.5
- spin magnetization (μB per cell) = 0.0
- ΔE to the lowest computed polymorph (eV per formula unit) = 0.00
- density of states at the Fermi level (states/eV/f.u.) = 2.99